Entry 1:
MgZn2Pd2 | PBE | optimized geometry

a = 3.609 Å, b = 3.609 Å, c = 6.948 Å
α = 74.95°, β = 74.95°, γ = 90.00°
Sites, in units of the cell vectors:
Mg 0.000 0.000 0.000
Zn 0.250 0.750 0.500
Pd 0.604 0.604 0.793
Zn 0.750 0.250 0.500
Pd 0.396 0.396 0.207

The calculation puts the magnetization at 0.000 μB/atom. For the formation energy, the calculation gives -0.39 eV/atom. As for the total energy: -3.29 eV/atom. As for the symmetry: I4/mmm.

Entry 2:
Mg6ZnPd | PBE | optimized geometry

a = 5.916 Å, b = 6.224 Å, c = 6.204 Å
α = 59.89°, β = 76.63°, γ = 62.56°
Sites, in units of the cell vectors:
Mg 0.252 0.946 0.595
Mg 0.748 0.054 0.405
Mg 0.747 0.746 0.000
Pd 0.500 0.500 0.000
Mg 0.252 0.541 0.405
Zn 0.000 0.000 0.000
Mg 0.748 0.459 0.595
Mg 0.253 0.254 0.000

The calculation puts the magnetization at 0.000 μB/atom. For the formation energy, the calculation gives -0.05 eV/atom. As for the total energy: -2.05 eV/atom. As for the symmetry: C2/m.

Entry 3:
Mg4Zn3Pd2 | PBE | optimized geometry

a = 4.509 Å, b = 4.509 Å, c = 8.696 Å
α = 90.00°, β = 90.00°, γ = 60.00°
Sites, in units of the cell vectors:
Mg 0.667 0.667 0.874
Pd 0.667 0.667 0.187
Mg 0.000 0.000 0.326
Mg 0.000 0.000 0.674
Pd 0.333 0.333 0.813
Mg 0.333 0.333 0.126
Zn 0.333 0.333 0.507
Zn 0.667 0.667 0.493
Zn 0.000 0.000 0.000

The calculation puts the magnetization at 0.000 μB/atom. For the formation energy, the calculation gives -0.38 eV/atom. As for the total energy: -2.67 eV/atom. As for the symmetry: P-3m1.

Entry 4:
Mg3Zn4Pd2 | PBE | optimized geometry

a = 4.456 Å, b = 5.290 Å, c = 7.300 Å
α = 103.92°, β = 90.00°, γ = 114.91°
Sites, in units of the cell vectors:
Pd 0.242 0.484 0.282
Zn 0.300 0.600 0.948
Mg 0.549 0.098 0.324
Mg 0.000 0.000 0.000
Zn 0.866 0.732 0.415
Pd 0.758 0.516 0.718
Zn 0.134 0.268 0.585
Mg 0.451 0.902 0.676
Zn 0.700 0.400 0.052

The calculation puts the magnetization at 0.000 μB/atom. For the formation energy, the calculation gives -0.40 eV/atom. As for the total energy: -2.65 eV/atom. As for the symmetry: C2/m.

Entry 5:
Mg2ZnPd3 | PBE | optimized geometry

a = 3.029 Å, b = 3.029 Å, c = 10.145 Å
α = 90.00°, β = 90.00°, γ = 90.00°
Sites, in units of the cell vectors:
Mg 0.500 0.500 0.171
Pd 0.000 0.000 0.656
Zn 0.500 0.500 0.500
Pd 0.000 0.000 0.000
Pd 0.000 0.000 0.344
Mg 0.500 0.500 0.829

The calculation puts the magnetization at 0.000 μB/atom. For the formation energy, the calculation gives -0.68 eV/atom. As for the total energy: -4.02 eV/atom. As for the symmetry: P4/mmm.

Entry 6:
MgZnPd4 | PBE | optimized geometry

a = 2.976 Å, b = 5.570 Å, c = 6.984 Å
α = 117.39°, β = 77.70°, γ = 74.51°
Sites, in units of the cell vectors:
Pd 0.336 0.004 0.324
Zn 0.000 0.000 0.000
Mg 0.500 0.500 0.500
Pd 0.664 0.996 0.676
Pd 0.178 0.477 0.166
Pd 0.822 0.523 0.834

The calculation puts the magnetization at 0.000 μB/atom. For the formation energy, the calculation gives -0.49 eV/atom. As for the total energy: -4.43 eV/atom. As for the symmetry: C2/m.

Entry 7:
MgZn3Pd7 | PBE | optimized geometry

a = 4.729 Å, b = 6.597 Å, c = 6.597 Å
α = 89.92°, β = 111.35°, γ = 111.35°
Sites, in units of the cell vectors:
Pd 0.185 0.180 0.180
Zn 0.000 0.771 0.229
Pd 0.317 0.607 0.026
Mg 0.500 0.500 0.500
Pd 0.317 0.026 0.607
Zn 0.000 0.229 0.771
Pd 0.000 0.500 0.500
Zn 0.500 0.000 0.000
Pd 0.683 0.393 0.974
Pd 0.815 0.820 0.820
Pd 0.683 0.974 0.393

The calculation puts the magnetization at 0.000 μB/atom. For the formation energy, the calculation gives -0.28 eV/atom. As for the total energy: -4.07 eV/atom. As for the symmetry: C2/m.

Entry 8:
Mg2Zn6Pd | PBE | optimized geometry

a = 6.542 Å, b = 5.099 Å, c = 5.099 Å
α = 64.51°, β = 99.35°, γ = 99.35°
Sites, in units of the cell vectors:
Zn 0.671 0.124 0.124
Pd 0.000 0.000 0.000
Mg 0.081 0.342 0.342
Zn 0.329 0.867 0.385
Zn 0.671 0.133 0.615
Zn 0.329 0.876 0.876
Zn 0.329 0.385 0.867
Mg 0.919 0.658 0.658
Zn 0.671 0.615 0.133

The calculation puts the magnetization at 0.000 μB/atom. For the formation energy, the calculation gives -0.20 eV/atom. As for the total energy: -1.98 eV/atom. As for the symmetry: C2/m.

What is the formula in the fifth record?
Mg2ZnPd3